No. 1
Compound: NiAgBr3
Source: Alexandria
Functional: SCAN
Structure: single point on PBEsol structure

abc: 5.1548 5.1548 5.1548
angles: 90.00 90.00 90.00
Sites, in units of the cell vectors:
Ni 0.0000 0.0000 0.0000
Ag 0.5000 0.5000 0.5000
Br 0.0000 0.5000 0.5000
Br 0.5000 0.0000 0.5000
Br 0.5000 0.5000 0.0000

Calculated values
SG: Pm-3m (221)

***

No. 2
Compound: Ni2AgBr
Source: Alexandria
Functional: SCAN
Structure: single point on PBEsol structure

abc: 4.3738 4.3738 2.9752
angles: 90.00 90.00 90.19
Sites, in units of the cell vectors:
Ni 0.0000 0.5000 0.0000
Ni 0.5000 0.0000 0.0000
Ag 0.0000 0.0000 0.5000
Br 0.5000 0.5000 0.5000

Calculated values
SG: Cmmm (65)

***

No. 3
Compound: NiAgSeBr2
Source: Alexandria
Functional: SCAN
Structure: single point on PBEsol structure

abc: 5.0600 5.0600 5.1118
angles: 90.00 90.00 90.00
Sites, in units of the cell vectors:
Ni 0.0000 0.0000 0.0000
Ag 0.5000 0.5000 0.5000
Se 0.5000 0.5000 0.0000
Br 0.0000 0.5000 0.5000
Br 0.5000 0.0000 0.5000

Calculated values
SG: P4/mmm (123)

***

No. 4
Compound: AgBrO3
Source: Alexandria
Functional: SCAN
Structure: single point on PBEsol structure

abc: 3.9944 3.9944 3.9944
angles: 90.00 90.00 90.00
Sites, in units of the cell vectors:
Ag 0.0000 0.0000 0.0000
Br 0.5000 0.5000 0.5000
O 0.0000 0.0000 0.5000
O 0.0000 0.5000 0.0000
O 0.5000 0.0000 0.0000

Calculated values
SG: Pm-3m (221)

***

| no. | uncorrected formation energy (eV/atom) |
| --- | --- |
| 1 | 0.50 |
| 2 | 0.66 |
| 3 | 0.63 |
| 4 | 0.86 |